VASP calculation (meta-GGA SCAN) on a crystal of AlPdO2 relaxed with PBEsol.

Geometry as CIF:
```
data_AlPdO2
_chemical_formula_sum 'Al1 Pd1 O2'
_cell_length_a 6.1679
_cell_length_b 6.1679
_cell_length_c 6.1679
_cell_angle_alpha 26.51
_cell_angle_beta 26.51
_cell_angle_gamma 26.51
_space_group_name_H-M_alt 'P 1'
_space_group_IT_number 1
_space_group_name_Hall 'P 1'
loop_
_atom_site_label
_atom_site_type_symbol
_atom_site_fract_x
_atom_site_fract_y
_atom_site_fract_z
Al1 Al 0.0000 0.0000 0.0000
Pd1 Pd 0.5000 0.5000 0.5000
O1 O 0.3874 0.3874 0.3874
O2 O 0.6126 0.6126 0.6126
```

Computed properties:
Electronic total energy: -15.523 eV per atom
Volume: 10.3 Å³ per atom
Crystal system: trigonal
Symmetry: R-3m (166)

VASP calculation (meta-GGA SCAN) on a crystal of CrHPd3 relaxed with PBEsol.

Geometry as CIF:
```
data_CrHPd3
_chemical_formula_sum 'Cr1 H1 Pd3'
_cell_length_a 3.9040
_cell_length_b 3.9040
_cell_length_c 3.9040
_cell_angle_alpha 90.00
_cell_angle_beta 90.00
_cell_angle_gamma 90.00
_space_group_name_H-M_alt 'P 1'
_space_group_IT_number 1
_space_group_name_Hall 'P 1'
loop_
_atom_site_label
_atom_site_type_symbol
_atom_site_fract_x
_atom_site_fract_y
_atom_site_fract_z
Cr1 Cr 0.0000 0.0000 0.0000
H1 H 0.5000 0.5000 0.5000
Pd1 Pd 0.0000 0.5000 0.5000
Pd2 Pd 0.5000 0.0000 0.5000
Pd3 Pd 0.5000 0.5000 0.0000
```

Computed properties:
Electronic total energy: -24.199 eV per atom
Volume: 11.9 Å³ per atom
Crystal system: cubic
Symmetry: Pm-3m (221)

VASP calculation (meta-GGA SCAN) on a crystal of LiCdI2 relaxed with PBEsol.

Geometry as CIF:
```
data_LiCdI2
_chemical_formula_sum 'Li2 Cd2 I4'
_cell_length_a 8.3804
_cell_length_b 8.3804
_cell_length_c 8.3804
_cell_angle_alpha 133.28
_cell_angle_beta 133.28
_cell_angle_gamma 68.21
_space_group_name_H-M_alt 'P 1'
_space_group_IT_number 1
_space_group_name_Hall 'P 1'
loop_
_atom_site_label
_atom_site_type_symbol
_atom_site_fract_x
_atom_site_fract_y
_atom_site_fract_z
Li1 Li 0.0000 0.0000 0.0000
Li2 Li 0.7500 0.2500 0.5000
Cd1 Cd 0.2500 0.7500 0.5000
Cd2 Cd 0.5000 0.5000 0.0000
I1 I 0.0862 0.6250 0.9612
I2 I 0.3750 0.3362 0.4612
I3 I 0.6638 0.1250 0.0388
I4 I 0.8750 0.9138 0.5388
```

Computed properties:
Electronic total energy: -27.176 eV per atom
Volume: 38.3 Å³ per atom
Crystal system: tetragonal
Symmetry: I-42d (122)

VASP calculation (meta-GGA SCAN) on a crystal of Ba2LiCu2 relaxed with PBEsol.

Geometry as CIF:
```
data_Ba2LiCu2
_chemical_formula_sum 'Ba4 Li2 Cu4'
_cell_length_a 8.1789
_cell_length_b 8.1789
_cell_length_c 4.3917
_cell_angle_alpha 90.00
_cell_angle_beta 90.00
_cell_angle_gamma 90.00
_space_group_name_H-M_alt 'P 1'
_space_group_IT_number 1
_space_group_name_Hall 'P 1'
loop_
_atom_site_label
_atom_site_type_symbol
_atom_site_fract_x
_atom_site_fract_y
_atom_site_fract_z
Ba1 Ba 0.1807 0.3193 0.0000
Ba2 Ba 0.3193 0.8193 0.0000
Ba3 Ba 0.6807 0.1807 0.0000
Ba4 Ba 0.8193 0.6807 0.0000
Li1 Li 0.0000 0.0000 0.5000
Li2 Li 0.5000 0.5000 0.5000
Cu1 Cu 0.1060 0.6060 0.5000
Cu2 Cu 0.3940 0.1060 0.5000
Cu3 Cu 0.6060 0.8940 0.5000
Cu4 Cu 0.8940 0.3940 0.5000
```

Computed properties:
Electronic total energy: -22.325 eV per atom
Formation energy from the elements: 53 meV/atom
Volume: 29.4 Å³ per atom
Crystal system: tetragonal
Symmetry: P4/mbm (127)